Material: CaLa3Ir
Method: DFT, PBE-GGA
State: optimized geometry

The value obtained for the final energy is -0.2014 Ha/atom. As for the energy of formation: -169 kJ/mol of formula units. Its polymorph energy (0 for the lowest one) is 0.000 eV per atom. Its crystal system is triclinic.

The structure belongs to space group P-1 (No. 2); the cell edges are 6.9464, 7.1133 and 7.9035 Å and the angles 86.57°, 69.60° and 79.26°. The asymmetric unit holds Ca at (0.2503, 0.1113, 0.1801), La at (0.2414, 0.6061, 0.9714), La at (0.2491, 0.6230, 0.4586), La at (0.2602, 0.1108, 0.6885) and Ir at (0.5002, 0.2611, 0.3518).